A relaxed structure of BeCr4. Source: Alexandria via LeMat-Bulk, functional GGA-PBE.

Cell: 5.5156 5.5156 5.5156 Å, 140.95 140.95 56.42°
Positions (direct):
Be 0.0000 0.0000 0.0000
Cr 0.2500 0.7500 0.5000
Cr 0.3863 0.3863 0.0000
Cr 0.6137 0.6137 0.0000
Cr 0.7500 0.2500 0.5000

**Symmetry**: I4/mmm
**Calculated formation energy**: 4.4 eV/f.u.

***

A relaxed structure of Be3Cr5. Source: Alexandria via LeMat-Bulk, functional GGA-PBE.

Cell: 6.5601 6.5601 4.3953 Å, 90.00 90.00 120.00°
Positions (direct):
Be 0.0000 0.4030 0.2500
Be 0.0000 0.5970 0.7500
Be 0.4030 0.0000 0.2500
Be 0.4030 0.4030 0.7500
Be 0.5970 0.0000 0.7500
Be 0.5970 0.5970 0.2500
Cr 0.0000 0.2373 0.7500
Cr 0.0000 0.7627 0.2500
Cr 0.2373 0.0000 0.7500
Cr 0.2373 0.2373 0.2500
Cr 0.3333 0.6667 0.0000
Cr 0.3333 0.6667 0.5000
Cr 0.6667 0.3333 0.0000
Cr 0.6667 0.3333 0.5000
Cr 0.7627 0.0000 0.2500
Cr 0.7627 0.7627 0.7500

**Symmetry**: P6_3/mcm
**Calculated formation energy**: 0.8 eV/f.u.

***

A relaxed structure of BeCr. Source: Alexandria via LeMat-Bulk, functional GGA-PBE.

Cell: 5.0086 5.0086 5.0086 Å, 100.44 100.44 129.62°
Positions (direct):
Be 0.1089 0.1964 0.3053
Be 0.1964 0.8911 0.0875
Be 0.8036 0.1089 0.9125
Be 0.8911 0.8036 0.6947
Cr 0.1613 0.5469 0.7082
Cr 0.4531 0.1613 0.6144
Cr 0.5469 0.8387 0.3856
Cr 0.8387 0.4531 0.2918

**Symmetry**: I4/m
**Calculated formation energy**: 0.8 eV/f.u.

***

A relaxed structure of BeCr. Source: Alexandria via LeMat-Bulk, functional GGA-PBE.

Cell: 2.4481 2.4481 3.9822 Å, 90.00 90.00 120.00°
Positions (direct):
Be 0.0000 0.0000 0.0000
Cr 0.6667 0.3333 0.5000

**Symmetry**: P-6m2
**Calculated formation energy**: 0.5 eV/f.u.

***

A relaxed structure of Be3Cr. Source: Alexandria via LeMat-Bulk, functional GGA-PBE.

Cell: 3.7349 3.7349 3.7349 Å, 60.00 60.00 60.00°
Positions (direct):
Be 0.0000 0.0000 0.0000
Be 0.2500 0.2500 0.2500
Be 0.7500 0.7500 0.7500
Cr 0.5000 0.5000 0.5000

**Symmetry**: Fm-3m
**Calculated formation energy**: 0.4 eV/f.u.

***

A relaxed structure of Be2Cr. Source: Alexandria via LeMat-Bulk, functional GGA-PBE.

Cell: 3.5651 3.5651 2.5208 Å, 90.00 90.00 120.00°
Positions (direct):
Be 0.3333 0.6667 0.0000
Be 0.6667 0.3333 0.0000
Cr 0.0000 0.0000 0.5000

**Symmetry**: P6/mmm
**Calculated formation energy**: 0.0 eV/f.u.

***

A relaxed structure of BeCr3. Source: Alexandria via LeMat-Bulk, functional GGA-PBE.

Cell: 4.6451 4.6451 4.6451 Å, 117.13 117.13 117.13°
Positions (direct):
Be 0.0000 0.0000 0.0000
Cr 0.0000 0.5000 0.5000
Cr 0.5000 0.0000 0.5000
Cr 0.5000 0.5000 0.0000

**Symmetry**: R-3m
**Calculated formation energy**: 0.2 eV/f.u.

***

A relaxed structure of Be4Cr3. Source: Alexandria via LeMat-Bulk, functional GGA-PBE.

Cell: 4.5313 4.5313 4.2520 Å, 90.00 90.00 120.00°
Positions (direct):
Be 0.0000 0.0000 0.2307
Be 0.0000 0.0000 0.7693
Be 0.3333 0.6667 0.5000
Be 0.6667 0.3333 0.5000
Cr 0.0000 0.5000 0.0000
Cr 0.5000 0.0000 0.0000
Cr 0.5000 0.5000 0.0000

**Symmetry**: P6/mmm
**Calculated formation energy**: 2.6 eV/f.u.

***

A relaxed structure of BeCr4. Source: Alexandria via LeMat-Bulk, functional GGA-PBE.

Cell: 3.9338 3.9338 3.9338 Å, 90.00 90.00 90.00°
Positions (direct):
Be 0.0000 0.0000 0.0000
Cr 0.0000 0.0000 0.5000
Cr 0.0000 0.5000 0.0000
Cr 0.5000 0.0000 0.0000
Cr 0.5000 0.5000 0.5000

**Symmetry**: Pm-3m
**Calculated formation energy**: 4.7 eV/f.u.

***

A relaxed structure of Be2Cr. Source: Alexandria via LeMat-Bulk, functional GGA-PBE.

Cell: 6.6641 6.6641 3.8911 Å, 90.00 90.00 160.38°
Positions (direct):
Be 0.0515 0.9485 0.7500
Be 0.3964 0.6036 0.7500
Be 0.6036 0.3964 0.2500
Be 0.9485 0.0515 0.2500
Cr 0.2871 0.7129 0.2500
Cr 0.7129 0.2871 0.7500

**Symmetry**: Cmcm
**Calculated formation energy**: 0.5 eV/f.u.

***

A relaxed structure of BeCr. Source: Alexandria via LeMat-Bulk, functional GGA-PBE.

Cell: 2.8481 2.8481 5.1021 Å, 90.00 90.00 90.00°
Positions (direct):
Be 0.2500 0.2500 0.1082
Be 0.7500 0.7500 0.8918
Cr 0.2500 0.2500 0.6060
Cr 0.7500 0.7500 0.3940

**Symmetry**: P4/nmm
**Calculated formation energy**: 0.2 eV/f.u.

***

A relaxed structure of BeCr. Source: Alexandria via LeMat-Bulk, functional GGA-PBE.

Cell: 4.6213 4.6213 3.5152 Å, 90.00 90.00 148.39°
Positions (direct):
Be 0.0619 0.9381 0.7500
Be 0.9381 0.0619 0.2500
Cr 0.3282 0.6718 0.7500
Cr 0.6718 0.3282 0.2500

**Symmetry**: Cmcm
**Calculated formation energy**: 0.1 eV/f.u.

***

A relaxed structure of BeCr. Source: Alexandria via LeMat-Bulk, functional GGA-PBE.

Cell: 8.1658 8.1658 8.1658 Å, 17.18 17.18 17.18°
Positions (direct):
Be 0.1282 0.1282 0.1282
Be 0.8718 0.8718 0.8718
Cr 0.3791 0.3791 0.3791
Cr 0.6209 0.6209 0.6209

**Symmetry**: R-3m
**Calculated formation energy**: 0.5 eV/f.u.

***

A relaxed structure of Be3Cr. Source: Alexandria via LeMat-Bulk, functional GGA-PBE.

Cell: 4.5605 4.5605 3.7669 Å, 90.00 90.00 95.06°
Positions (direct):
Be 0.0636 0.6060 0.2500
Be 0.0927 0.9073 0.7500
Be 0.3940 0.9364 0.2500
Be 0.6060 0.0636 0.7500
Be 0.9073 0.0927 0.2500
Be 0.9364 0.3940 0.7500
Cr 0.4411 0.5589 0.7500
Cr 0.5589 0.4411 0.2500

**Symmetry**: Cmcm
**Calculated formation energy**: 1.2 eV/f.u.

***

A relaxed structure of BeCr. Source: Alexandria via LeMat-Bulk, functional GGA-PBE.

Cell: 6.6137 6.6137 3.8393 Å, 90.00 90.00 90.00°
Positions (direct):
Be 0.0800 0.2266 0.0000
Be 0.0800 0.7734 0.5000
Be 0.2266 0.0800 0.5000
Be 0.2266 0.9200 0.0000
Be 0.7734 0.0800 0.0000
Be 0.7734 0.9200 0.5000
Be 0.9200 0.2266 0.5000
Be 0.9200 0.7734 0.0000
Cr 0.2153 0.4180 0.5000
Cr 0.2153 0.5820 0.0000
Cr 0.4180 0.2153 0.0000
Cr 0.4180 0.7847 0.5000
Cr 0.5820 0.2153 0.5000
Cr 0.5820 0.7847 0.0000
Cr 0.7847 0.4180 0.0000
Cr 0.7847 0.5820 0.5000

**Symmetry**: P4/mcc
**Calculated formation energy**: 0.6 eV/f.u.

***

A relaxed structure of BeCr. Source: Alexandria via LeMat-Bulk, functional GGA-PBE.

Cell: 3.4084 3.4084 3.4084 Å, 60.00 60.00 60.00°
Positions (direct):
Be 0.0000 0.0000 0.0000
Cr 0.7500 0.7500 0.7500

**Symmetry**: F-43m
**Calculated formation energy**: 4.0 eV/f.u.

***

A relaxed structure of Be5Cr3. Source: Alexandria via LeMat-Bulk, functional GGA-PBE.

Cell: 6.5852 6.5852 4.1646 Å, 90.00 90.00 120.00°
Positions (direct):
Be 0.0000 0.2061 0.2500
Be 0.0000 0.7939 0.7500
Be 0.2061 0.0000 0.2500
Be 0.2061 0.2061 0.7500
Be 0.3333 0.6667 0.0000
Be 0.3333 0.6667 0.5000
Be 0.6667 0.3333 0.0000
Be 0.6667 0.3333 0.5000
Be 0.7939 0.0000 0.7500
Be 0.7939 0.7939 0.2500
Cr 0.0000 0.4089 0.7500
Cr 0.0000 0.5911 0.2500
Cr 0.4089 0.0000 0.7500
Cr 0.4089 0.4089 0.2500
Cr 0.5911 0.0000 0.2500
Cr 0.5911 0.5911 0.7500

**Symmetry**: P6_3/mcm
**Calculated formation energy**: 2.1 eV/f.u.

***

A relaxed structure of BeCr. Source: Alexandria via LeMat-Bulk, functional GGA-PBE.

Cell: 7.5171 2.8948 7.2571 Å, 90.00 90.00 90.00°
Positions (direct):
Be 0.0940 0.2500 0.2336
Be 0.1069 0.7500 0.0145
Be 0.3931 0.2500 0.5145
Be 0.4060 0.7500 0.7336
Be 0.5940 0.2500 0.2664
Be 0.6069 0.7500 0.4855
Be 0.8931 0.2500 0.9855
Be 0.9060 0.7500 0.7664
Cr 0.1334 0.7500 0.5045
Cr 0.1544 0.2500 0.7552
Cr 0.3456 0.7500 0.2552
Cr 0.3666 0.2500 0.0045
Cr 0.6334 0.7500 0.9955
Cr 0.6544 0.2500 0.7448
Cr 0.8456 0.7500 0.2448
Cr 0.8666 0.2500 0.4955

**Symmetry**: Pnma
**Calculated formation energy**: 0.1 eV/f.u.

***

A relaxed structure of BeCr3. Source: Alexandria via LeMat-Bulk, functional GGA-PBE.

Cell: 4.5751 4.5751 4.5751 Å, 143.42 129.68 63.79°
Positions (direct):
Be 0.0000 0.0000 0.0000
Cr 0.2604 0.7604 0.5000
Cr 0.5000 0.5000 0.0000
Cr 0.7396 0.2396 0.5000

**Symmetry**: Immm
**Calculated formation energy**: 0.3 eV/f.u.

***

A relaxed structure of BeCr. Source: Alexandria via LeMat-Bulk, functional GGA-PBE.

Cell: 11.9749 2.3408 4.2276 Å, 90.00 90.00 90.00°
Positions (direct):
Be 0.0000 0.0246 0.0000
Be 0.1513 0.9916 0.7319
Be 0.3487 0.0084 0.2319
Be 0.5000 0.9754 0.5000
Be 0.6513 0.0084 0.2319
Be 0.8487 0.9916 0.7319
Cr 0.0000 0.5548 0.4886
Cr 0.1744 0.4197 0.2331
Cr 0.3256 0.5803 0.7331
Cr 0.5000 0.4452 0.9886
Cr 0.6744 0.5803 0.7331
Cr 0.8256 0.4197 0.2331

**Symmetry**: Pmn2_1
**Calculated formation energy**: 0.1 eV/f.u.

***

A relaxed structure of Be2Cr. Source: Alexandria via LeMat-Bulk, functional GGA-PBE.

Cell: 5.3189 5.3189 3.8252 Å, 90.00 90.00 120.00°
Positions (direct):
Be 0.0000 0.2212 0.0000
Be 0.0000 0.4844 0.5000
Be 0.2212 0.0000 0.0000
Be 0.4844 0.0000 0.5000
Be 0.5156 0.5156 0.5000
Be 0.7788 0.7788 0.0000
Cr 0.0000 0.0000 0.5000
Cr 0.3333 0.6667 0.0000
Cr 0.6667 0.3333 0.0000

**Symmetry**: P-62m
**Calculated formation energy**: 1.3 eV/f.u.

***

A relaxed structure of BeCr. Source: Alexandria via LeMat-Bulk, functional GGA-PBE.

Cell: 4.3218 4.3218 6.7824 Å, 113.66 113.66 31.06°
Positions (direct):
Be 0.0000 0.0000 0.0000
Be 0.0436 0.0436 0.4987
Be 0.6441 0.6441 0.3115
Cr 0.3328 0.3328 0.1936
Cr 0.3617 0.3617 0.6364
Cr 0.6787 0.6787 0.8293

**Symmetry**: Cm
**Calculated formation energy**: 0.2 eV/f.u.

***

A relaxed structure of BeCr3. Source: Alexandria via LeMat-Bulk, functional GGA-PBE.

Cell: 2.4021 2.4021 7.7801 Å, 90.00 90.00 105.94°
Positions (direct):
Be 0.0000 0.0000 0.0000
Cr 0.0000 0.0000 0.5000
Cr 0.5000 0.5000 0.2383
Cr 0.5000 0.5000 0.7617

**Symmetry**: Cmmm
**Calculated formation energy**: 0.1 eV/f.u.

***

A relaxed structure of Be2Cr. Source: Alexandria via LeMat-Bulk, functional GGA-PBE.

Cell: 3.7104 3.7104 3.7104 Å, 60.00 60.00 60.00°
Positions (direct):
Be 0.2500 0.2500 0.2500
Be 0.7500 0.7500 0.7500
Cr 0.0000 0.0000 0.0000

**Symmetry**: Fm-3m
**Calculated formation energy**: 2.9 eV/f.u.

***

A relaxed structure of BeCr4. Source: Alexandria via LeMat-Bulk, functional GGA-PBE.

Cell: 4.3030 4.3030 4.3030 Å, 109.47 109.47 109.47°
Positions (direct):
Be 0.0000 0.0000 0.0000
Cr 0.0000 0.0000 0.5000
Cr 0.0000 0.5000 0.0000
Cr 0.5000 0.0000 0.0000
Cr 0.5000 0.5000 0.5000

**Symmetry**: Im-3m
**Calculated formation energy**: 5.0 eV/f.u.

***

A relaxed structure of BeCr. Source: Alexandria via LeMat-Bulk, functional GGA-PBE.

Cell: 2.3421 2.3421 3.6580 Å, 90.00 90.00 98.37°
Positions (direct):
Be 0.0000 0.0000 0.0000
Cr 0.5000 0.5000 0.5000

**Symmetry**: Cmmm
**Calculated formation energy**: 0.0 eV/f.u.

***

no.,D(E_F) (states/eV/atom)
1,1.09
2,1.15
3,0.48
4,1.17
5,0.45
6,0.67
7,0.65
8,0.97
9,1.40
10,0.48
11,0.84
12,0.45
13,0.45
14,0.59
15,0.63
16,1.18
17,0.48
18,0.74
19,0.69
20,0.51
21,0.52
22,0.61
23,0.61
24,0.90
25,1.18
26,0.50